1.
# Sr2OsAu PBE-GGA optimized geometry
# Energy of formation from the pure elements   0.368 eV/atom
# Calculated total energy   -16.4 eV for the cell shown
data_Sr2OsAu
_symmetry_space_group_name_H-M 'P 4 m m'
_symmetry_Int_Tables_number 99
_symmetry_space_group_name_Hall 'P 4 -2'
_cell_length_a 3.658
_cell_length_b 3.658
_cell_length_c 8.791
_cell_angle_alpha 90.00
_cell_angle_beta 90.00
_cell_angle_gamma 90.00
loop_
_atom_site_label
_atom_site_type_symbol
_atom_site_fract_x
_atom_site_fract_y
_atom_site_fract_z
Sr1 Sr 0.000 0.000 0.000
Sr2 Sr 0.500 0.500 0.424
Os1 Os 0.500 0.500 0.758
Au1 Au 0.000 0.000 0.658


2.
# SrTiOsAu2 PBE-GGA optimized geometry
# Energy of formation from the pure elements   1.508 eV/atom
# Calculated total energy   -19.8 eV for the cell shown
data_SrTiOsAu2
_symmetry_space_group_name_H-M 'P 4/m m m'
_symmetry_Int_Tables_number 123
_symmetry_space_group_name_Hall '-P 4 2'
_cell_length_a 4.900
_cell_length_b 4.900
_cell_length_c 5.517
_cell_angle_alpha 90.00
_cell_angle_beta 90.00
_cell_angle_gamma 90.00
loop_
_atom_site_label
_atom_site_type_symbol
_atom_site_fract_x
_atom_site_fract_y
_atom_site_fract_z
Sr1 Sr 0.000 0.000 0.000
Ti1 Ti 0.000 0.000 0.500
Os1 Os 0.500 0.500 0.000
Au1 Au 0.000 0.500 0.500


3.
# TaOs2Au PBE-GGA optimized geometry
# Energy of formation from the pure elements   0.156 eV/atom
# Calculated total energy   -73.9 eV for the cell shown
data_TaOs2Au
_symmetry_space_group_name_H-M 'I 4/m m m'
_symmetry_Int_Tables_number 139
_symmetry_space_group_name_Hall '-I 4 2'
_cell_length_a 4.033
_cell_length_b 4.033
_cell_length_c 7.820
_cell_angle_alpha 90.00
_cell_angle_beta 90.00
_cell_angle_gamma 90.00
loop_
_atom_site_label
_atom_site_type_symbol
_atom_site_fract_x
_atom_site_fract_y
_atom_site_fract_z
Ta1 Ta 0.000 0.000 0.000
Os1 Os 0.000 0.500 0.250
Au1 Au 0.000 0.000 0.500


4.
# TaOs4Au PBE-GGA optimized geometry
# Energy of formation from the pure elements   0.394 eV/atom
# Calculated total energy   -230.7 eV for the cell shown
data_TaOs4Au
_symmetry_space_group_name_H-M 'F -4 3 m'
_symmetry_Int_Tables_number 216
_symmetry_space_group_name_Hall 'F -4 2 3'
_cell_length_a 7.305
_cell_length_b 7.305
_cell_length_c 7.305
_cell_angle_alpha 90.00
_cell_angle_beta 90.00
_cell_angle_gamma 90.00
loop_
_atom_site_label
_atom_site_type_symbol
_atom_site_fract_x
_atom_site_fract_y
_atom_site_fract_z
Ta1 Ta 0.000 0.000 0.000
Os1 Os 0.125 0.125 0.375
Au1 Au 0.250 0.250 0.750


5.
# TaOs2Au PBE-GGA optimized geometry
# Energy of formation from the pure elements   0.077 eV/atom
# Calculated total energy   -37.3 eV for the cell shown
data_TaOs2Au
_symmetry_space_group_name_H-M 'P m m 2'
_symmetry_Int_Tables_number 25
_symmetry_space_group_name_Hall 'P 2 -2'
_cell_length_a 2.850
_cell_length_b 3.954
_cell_length_c 5.683
_cell_angle_alpha 90.00
_cell_angle_beta 90.00
_cell_angle_gamma 90.00
loop_
_atom_site_label
_atom_site_type_symbol
_atom_site_fract_x
_atom_site_fract_y
_atom_site_fract_z
Ta1 Ta 0.000 0.000 0.000
Os1 Os 0.000 0.000 0.543
Os2 Os 0.500 0.500 0.747
Au1 Au 0.500 0.500 0.266


6.
# TaOs2Au PBE-GGA optimized geometry
# Energy of formation from the pure elements   0.263 eV/atom
# Calculated total energy   -109.6 eV for the cell shown
data_TaOs2Au
_symmetry_space_group_name_H-M 'R -3 m'
_symmetry_Int_Tables_number 166
_symmetry_space_group_name_Hall '-R 3 2"'
_cell_length_a 2.8395
_cell_length_b 2.8395
_cell_length_c 27.8572
_cell_angle_alpha 90.00
_cell_angle_beta 90.00
_cell_angle_gamma 120.00
loop_
_atom_site_label
_atom_site_type_symbol
_atom_site_fract_x
_atom_site_fract_y
_atom_site_fract_z
Ta1 Ta 0.0000 0.0000 0.0000
Os1 Os 0.0000 0.0000 0.2539
Au1 Au 0.0000 0.0000 0.5000